Record 1
TaTcNO: relaxed, PBE.

For the offset from the most stable computed form, the calculation gives 7.4 kJ per mole of atoms. The total magnetization is 0.1 μB per cell.

Unit cell a=3.1969 b=5.9200 c=5.2451 alpha=90.00 beta=90.00 gamma=90.00
Space group Pmc2_1 (No. 26)
Inequivalent atoms, fractional coordinates:
1 Ta 0.0000 0.2280 0.0000 [2 per cell]
2 Tc 0.5000 0.3852 0.4086 [2 per cell]
3 N 0.5000 0.2935 0.7785 [2 per cell]
4 O 0.0000 0.0925 0.3536 [2 per cell]

***

Record 2
CsRbHo2P2: relaxed, PBE.

The total magnetization is 0.0 μB per cell. The uncorrected energy is -0.15864 hartree per atom.

Unit cell a=4.9646 b=4.9646 c=8.2553 alpha=90.00 beta=90.00 gamma=90.00
Space group P4mm (No. 99)
Inequivalent atoms, fractional coordinates:
1 Cs 0.0000 0.0000 0.0000 [1 per cell]
2 Rb 0.5000 0.5000 0.2541 [1 per cell]
3 Ho 0.0000 0.5000 0.6212 [2 per cell]
4 P 0.0000 0.0000 0.4718 [1 per cell]
5 P 0.5000 0.5000 0.7822 [1 per cell]

***

Record 3
Lu2CoB: relaxed, PBE.

For the offset from the most stable computed form, the calculation gives 0.0 kJ per mole of atoms. The total magnetization is 0.6 μB per cell.

Unit cell a=3.4175 b=3.4175 c=14.1466 alpha=90.00 beta=90.00 gamma=120.00
Space group P6_3/mmc (No. 194)
Inequivalent atoms, fractional coordinates:
1 Lu 0.3333 0.6667 0.1153 [4 per cell]
2 Co 0.3333 0.6667 0.7500 [2 per cell]
3 B 0.0000 0.0000 0.0000 [2 per cell]

***

Record 4
RbThAgS3: relaxed, PBE.

The total magnetization is 0.0 μB per cell. The uncorrected energy is -0.19685 hartree per atom.

Unit cell a=4.2225 b=14.7178 c=10.7667 alpha=90.00 beta=90.00 gamma=90.00
Space group Cmcm (No. 63)
Inequivalent atoms, fractional coordinates:
1 Rb 0.0000 0.2428 0.2500 [4 per cell]
2 Th 0.0000 0.5000 0.0000 [4 per cell]
3 Ag 0.0000 0.0401 0.7500 [4 per cell]
4 S 0.0000 0.1223 0.5450 [8 per cell]
5 S 0.0000 0.4379 0.7500 [4 per cell]

***

Record 5
TlCoBi: relaxed, PBE.

The total magnetization is 0.1 μB per cell. The uncorrected energy is -0.15327 hartree per atom.

Unit cell a=6.4923 b=6.4923 c=6.4923 alpha=90.00 beta=90.00 gamma=90.00
Space group F-43m (No. 216)
Inequivalent atoms, fractional coordinates:
1 Tl 0.0000 0.0000 0.0000 [4 per cell]
2 Co 0.2500 0.2500 0.7500 [4 per cell]
3 Bi 0.0000 0.0000 0.5000 [4 per cell]

***

Record 6
HoBrCl2: relaxed, PBE.

The total magnetization is 0.0 μB per cell. The uncorrected energy is -0.17042 hartree per atom.

Unit cell a=6.8867 b=12.2470 c=6.7794 alpha=90.00 beta=109.41 gamma=90.00
Space group C2/m (No. 12)
Inequivalent atoms, fractional coordinates:
1 Ho 0.0000 0.1688 0.0000 [4 per cell]
2 Br 0.2225 0.0000 0.2549 [4 per cell]
3 Cl 0.2429 0.1842 0.7704 [8 per cell]

***

Record 7
YFeTcBi: relaxed, PBE.

For the offset from the most stable computed form, the calculation gives 17.0 kJ per mole of atoms. The total magnetization is 18.5 μB per cell.

Unit cell a=6.7835 b=6.7835 c=6.7835 alpha=90.00 beta=90.00 gamma=90.00
Space group F-43m (No. 216)
Inequivalent atoms, fractional coordinates:
1 Y 0.0000 0.0000 0.0000 [4 per cell]
2 Fe 0.0000 0.0000 0.5000 [4 per cell]
3 Tc 0.2500 0.2500 0.7500 [4 per cell]
4 Bi 0.2500 0.2500 0.2500 [4 per cell]

***

Record 8
HfCdNiBi: relaxed, PBE.

The total magnetization is 0.3 μB per cell. The uncorrected energy is -0.17797 hartree per atom.

Unit cell a=6.8673 b=6.8673 c=6.8673 alpha=90.00 beta=90.00 gamma=90.00
Space group F-43m (No. 216)
Inequivalent atoms, fractional coordinates:
1 Hf 0.0000 0.0000 0.0000 [4 per cell]
2 Cd 0.2500 0.2500 0.7500 [4 per cell]
3 Ni 0.0000 0.0000 0.5000 [4 per cell]
4 Bi 0.2500 0.2500 0.2500 [4 per cell]

***

Record 9
CsPrCdS3: relaxed, PBE.

For the offset from the most stable computed form, the calculation gives 2.1 kJ per mole of atoms. The total magnetization is 0.0 μB per cell.

Unit cell a=15.6775 b=4.2882 c=11.3923 alpha=90.00 beta=90.00 gamma=90.00
Space group Pnma (No. 62)
Inequivalent atoms, fractional coordinates:
1 Cs 0.2382 0.2500 0.0408 [4 per cell]
2 Pr 0.0230 0.2500 0.3496 [4 per cell]
3 Cd 0.0167 0.7500 0.1028 [4 per cell]
4 S 0.0766 0.7500 0.8848 [4 per cell]
5 S 0.0859 0.2500 0.5774 [4 per cell]
6 S 0.1295 0.7500 0.2592 [4 per cell]

***

Record 10
TbPrO4: relaxed, PBE.

The total magnetization is 0.0 μB per cell. The uncorrected energy is -0.28443 hartree per atom.

Unit cell a=6.7559 b=3.8854 c=6.3526 alpha=90.00 beta=97.49 gamma=90.00
Space group Cm (No. 8)
Inequivalent atoms, fractional coordinates:
1 Tb 0.0000 0.0000 0.0000 [2 per cell]
2 Pr 0.3845 0.0000 0.4618 [2 per cell]
3 O 0.0404 0.0000 0.3622 [2 per cell]
4 O 0.1056 0.5000 0.8084 [2 per cell]
5 O 0.2713 0.5000 0.6737 [2 per cell]
6 O 0.3394 0.0000 0.0760 [2 per cell]

***

Record 11
BeZn2Si: relaxed, PBE.

The uncorrected energy is -0.09130 hartree per atom.

Unit cell a=6.0436 b=6.0436 c=6.0436 alpha=90.00 beta=90.00 gamma=90.00
Space group F-43m (No. 216)
Inequivalent atoms, fractional coordinates:
1 Be 0.0000 0.0000 0.0000 [4 per cell]
2 Zn 0.0000 0.0000 0.5000 [4 per cell]
3 Zn 0.2500 0.2500 0.2500 [4 per cell]
4 Si 0.2500 0.2500 0.7500 [4 per cell]

***

Record 12
NaSrW: relaxed, PBE.

For the offset from the most stable computed form, the calculation gives 0.0 kJ per mole of atoms. The total magnetization is 18.8 μB per cell.

Unit cell a=7.6182 b=7.6182 c=7.6182 alpha=90.00 beta=90.00 gamma=90.00
Space group F-43m (No. 216)
Inequivalent atoms, fractional coordinates:
1 Na 0.0000 0.0000 0.0000 [4 per cell]
2 Sr 0.0000 0.0000 0.5000 [4 per cell]
3 W 0.2500 0.2500 0.2500 [4 per cell]

***

Copy entry 10 word for word.
TbPrO4: relaxed, PBE.

The total magnetization is 0.0 μB per cell. The uncorrected energy is -0.28443 hartree per atom.

Unit cell a=6.7559 b=3.8854 c=6.3526 alpha=90.00 beta=97.49 gamma=90.00
Space group Cm (No. 8)
Inequivalent atoms, fractional coordinates:
1 Tb 0.0000 0.0000 0.0000 [2 per cell]
2 Pr 0.3845 0.0000 0.4618 [2 per cell]
3 O 0.0404 0.0000 0.3622 [2 per cell]
4 O 0.1056 0.5000 0.8084 [2 per cell]
5 O 0.2713 0.5000 0.6737 [2 per cell]
6 O 0.3394 0.0000 0.0760 [2 per cell]